Compound: ZnHg3Rh
Source: Alexandria via LeMat-Bulk
Functional: GGA-PBE
Structure: relaxed

Lattice parameters (Å, degrees): 4.9760 4.9760 4.9760 90.00 90.00 90.00
Closest atoms and distances in Å follow each position.
Fractional coordinates of all 5 atoms:
Zn  0.0000  0.0000  0.0000  6 Hg 2.49
Hg  0.0000  0.0000  0.5000  2 Zn 2.49
Hg  0.0000  0.5000  0.0000  2 Zn 2.49
Hg  0.5000  0.0000  0.0000  2 Zn 2.49
Rh  0.5000  0.5000  0.5000  12 Hg 3.52

- Calculated formation energy: 0.79 eV/atom
- Symmetry: Pm-3m, No. 221
- E: -0.0409 Ha/atom
- Distance to the lowest polymorph of the same formula: 487 meV per atom


Compound: ZnHgRh2
Source: Alexandria via LeMat-Bulk
Functional: GGA-PBE
Structure: relaxed

Lattice parameters (Å, degrees): 2.8897 2.8897 7.7633 90.00 90.00 90.00
Closest atoms and distances in Å follow each position.
Fractional coordinates of all 4 atoms:
Zn  0.0000  0.0000  0.0000  4 Rh 2.63, 4 Zn 2.89
Hg  0.5000  0.5000  0.2935  4 Hg 2.89, 4 Rh 2.91, 4 Zn 3.06
Rh  0.0000  0.0000  0.5611  8 Rh 2.69-2.89, 4 Hg 2.91
Rh  0.5000  0.5000  0.7872  4 Zn 2.63, 8 Rh 2.69-2.89

- Calculated formation energy: 0.03 eV/atom
- Symmetry: P4mm, No. 99
- E: -0.1485 Ha/atom


Compound: Zn2HgRh
Source: Alexandria via LeMat-Bulk
Functional: GGA-PBE
Structure: relaxed

Lattice parameters (Å, degrees): 3.0546 3.0546 7.1352 90.00 90.00 90.00
Closest atoms and distances in Å follow each position.
Fractional coordinates of all 4 atoms:
Zn  0.0000  0.0000  0.2035  4 Rh 2.60, 1 Zn 2.90
Zn  0.0000  0.0000  0.7965  4 Rh 2.60, 1 Zn 2.90
Hg  0.5000  0.5000  0.5000  8 Zn 3.02, 4 Hg 3.05
Rh  0.5000  0.5000  0.0000  8 Zn 2.60

- Calculated formation energy: -0.15 eV/atom
- Symmetry: P4/mmm, No. 123
- E: -0.0993 Ha/atom


Compound: Zn2HgRh
Source: Alexandria via LeMat-Bulk
Functional: GGA-PBE
Structure: relaxed

Lattice parameters (Å, degrees): 3.0677 3.6486 5.8303 90.00 90.00 90.00
Closest atoms and distances in Å follow each position.
Fractional coordinates of all 4 atoms:
Zn  0.0000  0.0000  0.0000  4 Rh 2.63, 4 Zn 2.80, 1 Hg 2.81
Zn  0.5000  0.5000  0.2505  1 Rh 2.56, 4 Zn 2.80, 4 Hg 2.85
Hg  0.0000  0.0000  0.5184  6 Zn 2.81-3.02, 4 Rh 2.93, 2 Hg 3.07
Rh  0.5000  0.5000  0.8106  5 Zn 2.56-2.63

- Calculated formation energy: -0.05 eV/atom
- Symmetry: Pmm2, No. 25
- E: -0.0957 Ha/atom